4
Lattice="-1.447 1.685 -10.887 -4.941 -0.931 -9.909 -5.179 3.478 -9.195" Properties=species:S:1:pos:R:3 comment="Ba2CaCu PBE relaxed" n_ef_per_ev_fu=4.7 e_form_mev_per_atom=101 rho_g_cm3=3.35 sg="R-3m (166)" energy_ev_per_atom=-2.39 de_polymorph_kj_per_mol_atoms=5.9 pbc="T T T"
Ca -2.892 1.058 -7.498
Ba -0.281 0.103 -0.729
Ba -5.503 2.013 -14.266
Cu -8.676 3.174 -22.493